(1)
First-principles (GGA-PBE) data for a relaxed structure of CoCuAs, as listed in Alexandria.

```
CoCuAs
1.0
-1.5420 1.5283 -4.0908
-2.2059 -1.4592 -3.8016
-2.9878 0.6861 0.2276
Cu Co As
1 1 1
Cartesian
-3.4962 0.2734 -5.2036
-3.2526 0.4711 -2.6016
-3.7348 0.0798 -7.7520
```

Calculated values
* DOS at the Fermi energy: 2.27 states/eV/cell
* size of the total moment: 0.4 Bohr magnetons per cell
* space group: I4mm, No. 107
* DFT formation energy: 0.0702 eV/atom


(2)
First-principles (GGA-PBE) data for a relaxed structure of CoCu2As, as listed in Alexandria.

```
CoCu2As
1.0
-1.3934 -1.7945 2.7503
0.9195 -3.1007 -1.5572
3.4550 0.1096 1.8219
As Cu Co
1 2 1
Cartesian
1.0308 -0.8424 2.2861
-0.2369 -2.4476 0.5965
0.0000 0.0000 0.0000
2.1872 -1.4955 0.1323
```

Calculated values
* DOS at the Fermi energy: 2.93 states/eV/cell
* size of the total moment: 1.2 Bohr magnetons per cell
* space group: Pmmm, No. 47
* DFT formation energy: 0.0852 eV/atom


(3)
First-principles (GGA-PBE) data for a relaxed structure of CoCuAs2, as listed in Alexandria.

```
CoCuAs2
1.0
-3.6181 -3.4552 0.2378
0.2299 -3.3797 3.6892
0.3021 4.9795 -0.4457
Co Cu As
1 1 2
Cartesian
-1.6941 -3.4175 1.9635
-2.5050 -0.9466 0.8778
0.0000 0.0000 0.0000
-0.5810 -0.9088 2.6035
```

Calculated values
* relative energy among the computed polymorphs: 234 meV per atom
* DOS at the Fermi energy: 2.75 states/eV/cell
* size of the total moment: 0.4 Bohr magnetons per cell
* space group: I-4m2, No. 119
* DFT formation energy: 0.2497 eV/atom


(4)
First-principles (GGA-PBE) data for a relaxed structure of CoCuAs2, as listed in Alexandria.

```
CoCuAs2
1.0
-1.6132 3.7638 1.5768
-3.8150 -1.7224 1.3168
3.9023 -1.6101 1.1978
As Co Cu
2 1 1
Cartesian
-5.4266 2.0408 2.8928
-2.7157 1.0213 1.4477
-0.2125 1.5872 2.1108
-1.3134 -1.1559 1.9808
```

Calculated values
* relative energy among the computed polymorphs: 160 meV per atom
* DOS at the Fermi energy: 2.08 states/eV/cell
* size of the total moment: 0.0 Bohr magnetons per cell
* space group: Immm, No. 71
* DFT formation energy: 0.1754 eV/atom


(5)
First-principles (GGA-PBE) data for a relaxed structure of CoCuAs2, as listed in Alexandria.

```
CoCuAs2
1.0
6.5740 0.0679 0.1680
-2.6018 3.4627 -0.0128
1.3704 1.0321 2.5526
Co As Cu
1 2 1
Cartesian
-0.6157 2.2474 1.2699
3.9722 0.5500 1.3603
0.0000 0.0000 0.0000
1.9861 1.7653 0.0776
```

Calculated values
* relative energy among the computed polymorphs: 202 meV per atom
* DOS at the Fermi energy: 3.28 states/eV/cell
* size of the total moment: 0.5 Bohr magnetons per cell
* space group: C2/m, No. 12
* DFT formation energy: 0.2173 eV/atom


(6)
First-principles (GGA-PBE) data for a relaxed structure of CoCu2As, as listed in Alexandria.

```
CoCu2As
1.0
4.4288 0.0646 0.0000
-1.8495 4.0247 0.0000
0.0000 0.0000 2.8957
Co As Cu
1 1 2
Cartesian
-0.9247 2.0123 1.4479
2.2144 0.0323 1.4479
0.0000 0.0000 0.0000
1.2897 2.0446 0.0000
```

Calculated values
* DOS at the Fermi energy: 3.34 states/eV/cell
* size of the total moment: 1.2 Bohr magnetons per cell
* space group: Cmmm, No. 65
* DFT formation energy: 0.1925 eV/atom


(7)
First-principles (GGA-PBE) data for a relaxed structure of CoCuAs2, as listed in Alexandria.

```
CoCuAs2
1.0
-3.8094 -0.2252 1.8719
-1.2295 -2.9024 -2.8513
1.0646 -2.3066 1.8889
As Co Cu
2 1 1
Cartesian
0.0000 0.0000 0.0000
-2.5194 -1.5638 -0.4897
-1.3724 -1.2659 1.8804
-0.0825 -2.6045 -0.4812
```

Calculated values
* relative energy among the computed polymorphs: 200 meV per atom
* DOS at the Fermi energy: 3.17 states/eV/cell
* size of the total moment: 0.2 Bohr magnetons per cell
* space group: P4/mmm, No. 123
* DFT formation energy: 0.2151 eV/atom


(8)
First-principles (GGA-PBE) data for a relaxed structure of CoCuAs2, as listed in Alexandria.

```
CoCuAs2
1.0
5.4277 0.0000 0.0000
0.0000 5.4277 0.0000
2.7138 2.7138 5.2213
Co As Cu
2 4 2
Cartesian
2.7138 2.7138 0.0000
2.7138 5.4277 2.6107
6.7846 6.6479 3.9160
4.0707 4.2074 3.9160
3.9341 1.3569 1.3053
1.4935 4.0707 1.3053
5.4277 2.7138 2.6107
0.0000 0.0000 0.0000
```

Calculated values
* relative energy among the computed polymorphs: 152 meV per atom
* DOS at the Fermi energy: 6.65 states/eV/cell
* size of the total moment: 0.0 Bohr magnetons per cell
* space group: I-42d, No. 122
* DFT formation energy: 0.1677 eV/atom


> Which of these has the highest DFT formation energy?

number 3


> Which value of size of the total moment does entry 5 give?

0.5 Bohr magnetons per cell